Record 1
# Er2BeSiPt6, relaxed, DFT PBE
data_Er2BeSiPt6
_cell_length_a 5.6534
_cell_length_b 5.6534
_cell_length_c 19.3735
_cell_angle_alpha 90.00
_cell_angle_beta 90.00
_cell_angle_gamma 120.00
_space_group_name_H-M_alt 'R -3 m'
_space_group_IT_number 166
_space_group_name_Hall '-R 3 2"'
loop_
_atom_site_label
_atom_site_fract_x
_atom_site_fract_y
_atom_site_fract_z
Er1 0.0000 0.0000 0.2093
Be1 0.0000 0.0000 0.0000
Si1 0.0000 0.0000 0.5000
Pt1 0.0066 0.5033 0.2599
# Uncorrected formation energy, eV per atom: -0.932

---

Record 2
# Ca3P2Pd9Pt, relaxed, DFT PBE
data_Ca3P2Pd9Pt
_cell_length_a 7.3316
_cell_length_b 7.3316
_cell_length_c 6.5331
_cell_angle_alpha 90.00
_cell_angle_beta 90.00
_cell_angle_gamma 120.00
_space_group_name_H-M_alt 'P -3 m 1'
_space_group_IT_number 164
_space_group_name_Hall '-P 3 2"'
loop_
_atom_site_label
_atom_site_fract_x
_atom_site_fract_y
_atom_site_fract_z
Ca1 0.0000 0.0000 0.0000
Ca2 0.3333 0.6667 0.6730
P1 0.3333 0.6667 0.1380
Pd1 0.0000 0.5000 0.0000
Pd2 0.1855 0.3711 0.3333
Pt1 0.0000 0.0000 0.5000
# Energy of formation, eV per atom: -0.48